(1)
{
  "formula": "Pm3Dy6Tm",
  "functional": "GGA-PBE",
  "state": "relaxed",
  "lattice_angstrom": [[5.473, -9.460, 0.000], [5.473, 9.460, 0.000], [0.000, 0.000, 6.312]],
  "species": ["Pm", "Pm", "Pm", "Pm", "Pm", "Pm", "Dy", "Dy", "Dy", "Dy", "Dy", "Dy", "Dy", "Dy", "Dy", "Dy", "Dy", "Dy", "Tm", "Tm"],
  "fractional_positions": [[0.111, 0.889, 0.500], [0.215, 0.440, 0.892], [0.440, 0.215, 0.392], [0.560, 0.785, 0.892], [0.785, 0.560, 0.392], [0.889, 0.111, 0.000], [0.031, 0.451, 0.297], [0.121, 0.212, 0.477], [0.212, 0.121, 0.977], [0.225, 0.775, 0.076], [0.451, 0.031, 0.797], [0.458, 0.542, 0.316], [0.542, 0.458, 0.816], [0.549, 0.969, 0.297], [0.775, 0.225, 0.576], [0.788, 0.879, 0.477], [0.879, 0.788, 0.977], [0.969, 0.549, 0.797], [0.301, 0.699, 0.561], [0.699, 0.301, 0.061]],
  "crystal_system": "orthorhombic",
  "e_form_ev_per_atom": 0.149
}

(2)
{
  "formula": "La4Te3Se",
  "functional": "GGA-PBE",
  "state": "relaxed",
  "lattice_angstrom": [[4.542, -6.394, 0.000], [4.542, 6.394, 0.000], [0.000, 0.000, 4.493]],
  "species": ["La", "La", "La", "La", "Te", "Te", "Te", "Se"],
  "fractional_positions": [[0.230, 0.230, 0.500], [0.239, 0.761, 0.000], [0.761, 0.239, 0.000], [0.770, 0.770, 0.500], [0.000, 0.500, 0.500], [0.500, 0.000, 0.500], [0.500, 0.500, 0.000], [0.000, 0.000, 0.000]],
  "crystal_system": "orthorhombic",
  "raw_formation_energy_kcal_per_mol_atoms": -38.95
}

(3)
{
  "formula": "ErUAlTc",
  "functional": "GGA-PBE",
  "state": "relaxed",
  "lattice_angstrom": [[0.000, 3.386, 3.386], [3.386, 0.000, 3.386], [3.386, 3.386, 0.000]],
  "species": ["Er", "U", "Al", "Tc"],
  "fractional_positions": [[0.000, 0.000, 0.000], [0.250, 0.250, 0.250], [0.750, 0.750, 0.750], [0.500, 0.500, 0.500]],
  "crystal_system": "cubic",
  "e_form_ev_per_atom": 0.059
}

(4)
{
  "formula": "Co3NiB",
  "functional": "GGA-PBE",
  "state": "relaxed",
  "lattice_angstrom": [[4.207, 0.000, 0.000], [0.000, 4.207, 0.000], [0.000, 0.000, 4.207]],
  "species": ["Co", "Co", "Co", "Ni", "B"],
  "fractional_positions": [[0.000, 0.000, 0.500], [0.000, 0.500, 0.000], [0.500, 0.000, 0.000], [0.000, 0.000, 0.000], [0.500, 0.500, 0.500]],
  "crystal_system": "cubic",
  "e_form_ev_per_atom": 1.848
}

(5)
{
  "formula": "NiSbTeN2",
  "functional": "GGA-PBE",
  "state": "relaxed",
  "lattice_angstrom": [[4.049, 0.000, 0.000], [0.000, 4.049, 0.000], [0.000, 0.000, 5.210]],
  "species": ["Ni", "Sb", "Te", "N", "N"],
  "fractional_positions": [[0.000, 0.000, 0.000], [0.500, 0.500, 0.500], [0.000, 0.000, 0.500], [0.000, 0.500, 0.000], [0.500, 0.000, 0.000]],
  "crystal_system": "tetragonal",
  "raw_formation_energy_kcal_per_mol_atoms": 31.15
}

(6)
{
  "formula": "Li2Fe2As2N",
  "functional": "GGA-PBE",
  "state": "relaxed",
  "lattice_angstrom": [[-1.902, 1.902, 6.468], [1.902, -1.902, 6.468], [1.902, 1.902, -6.468]],
  "species": ["Li", "Li", "Fe", "Fe", "As", "As", "N"],
  "fractional_positions": [[0.163, 0.163, 0.000], [0.837, 0.837, 0.000], [0.000, 0.500, 0.500], [0.500, 0.000, 0.500], [0.370, 0.370, 0.000], [0.630, 0.630, 0.000], [0.000, 0.000, 0.000]],
  "crystal_system": "tetragonal",
  "raw_formation_energy_kcal_per_mol_atoms": -7.22
}

(7)
{
  "formula": "HfScTc2Se",
  "functional": "GGA-PBE",
  "state": "relaxed",
  "lattice_angstrom": [[4.612, 0.000, 0.000], [0.000, 4.612, 0.000], [0.000, 0.000, 4.691]],
  "species": ["Hf", "Sc", "Tc", "Tc", "Se"],
  "fractional_positions": [[0.000, 0.000, 0.000], [0.500, 0.500, 0.000], [0.000, 0.500, 0.500], [0.500, 0.000, 0.500], [0.500, 0.500, 0.500]],
  "crystal_system": "tetragonal",
  "raw_formation_energy_kcal_per_mol_atoms": 8.50
}

(8)
{
  "formula": "Ca6Zn5Hg",
  "functional": "GGA-PBE",
  "state": "relaxed",
  "lattice_angstrom": [[2.629, -7.862, 0.000], [2.629, 7.862, 0.000], [0.000, 0.000, 7.341]],
  "species": ["Ca", "Ca", "Ca", "Ca", "Ca", "Ca", "Zn", "Zn", "Zn", "Zn", "Zn", "Hg"],
  "fractional_positions": [[0.000, 0.000, 0.247], [0.000, 0.000, 0.753], [0.332, 0.668, 0.248], [0.332, 0.668, 0.752], [0.668, 0.332, 0.248], [0.668, 0.332, 0.752], [0.166, 0.834, 0.000], [0.168, 0.832, 0.500], [0.500, 0.500, 0.000], [0.832, 0.168, 0.500], [0.834, 0.166, 0.000], [0.500, 0.500, 0.500]],
  "crystal_system": "orthorhombic",
  "e_form_ev_per_atom": -0.288
}

(9)
{
  "formula": "GeIr",
  "functional": "GGA-PBE",
  "state": "relaxed",
  "lattice_angstrom": [[5.597, 0.000, 0.000], [0.000, 3.643, 0.000], [0.000, 0.000, 6.305]],
  "species": ["Ge", "Ge", "Ge", "Ge", "Ir", "Ir", "Ir", "Ir"],
  "fractional_positions": [[0.193, 0.250, 0.081], [0.307, 0.750, 0.581], [0.693, 0.250, 0.419], [0.807, 0.750, 0.919], [0.002, 0.250, 0.708], [0.498, 0.750, 0.208], [0.502, 0.250, 0.792], [0.998, 0.750, 0.292]],
  "crystal_system": "orthorhombic",
  "e_form_ev_per_atom": -0.316
}

(10)
{
  "formula": "CoSnSb2Te",
  "functional": "GGA-PBE",
  "state": "relaxed",
  "lattice_angstrom": [[5.625, 0.000, 0.000], [0.000, 5.625, 0.000], [0.000, 0.000, 5.650]],
  "species": ["Co", "Sn", "Sb", "Sb", "Te"],
  "fractional_positions": [[0.000, 0.000, 0.000], [0.500, 0.500, 0.500], [0.000, 0.500, 0.500], [0.500, 0.000, 0.500], [0.500, 0.500, 0.000]],
  "crystal_system": "tetragonal",
  "raw_formation_energy_kcal_per_mol_atoms": 30.48
}

(11)
{
  "formula": "Na3TlTc",
  "functional": "GGA-PBE",
  "state": "relaxed",
  "lattice_angstrom": [[5.749, 0.000, 0.000], [0.000, 5.749, 0.000], [0.000, 0.000, 5.749]],
  "species": ["Na", "Na", "Na", "Tl", "Tc"],
  "fractional_positions": [[0.000, 0.000, 0.500], [0.000, 0.500, 0.000], [0.500, 0.000, 0.000], [0.500, 0.500, 0.500], [0.000, 0.000, 0.000]],
  "crystal_system": "cubic",
  "e_form_ev_per_atom": 1.103
}

(12)
{
  "formula": "LaFeAs2",
  "functional": "GGA-PBE",
  "state": "relaxed",
  "lattice_angstrom": [[-1.723, 1.878, 6.506], [1.723, -1.878, 6.506], [1.723, 1.878, -6.506]],
  "species": ["La", "Fe", "As", "As"],
  "fractional_positions": [[0.000, 0.000, 0.000], [0.751, 0.251, 0.500], [0.314, 0.814, 0.500], [0.622, 0.622, 0.000]],
  "crystal_system": "orthorhombic",
  "e_form_ev_per_atom": -0.383
}

(13)
{
  "formula": "TeRh2Au",
  "functional": "GGA-PBE",
  "state": "relaxed",
  "lattice_angstrom": [[3.173, -3.366, 0.000], [3.173, 3.366, 0.000], [0.000, 0.000, 3.220]],
  "species": ["Te", "Rh", "Rh", "Au"],
  "fractional_positions": [[0.000, 0.000, 0.000], [0.000, 0.500, 0.500], [0.500, 0.000, 0.500], [0.500, 0.500, 0.000]],
  "crystal_system": "orthorhombic",
  "raw_formation_energy_kcal_per_mol_atoms": 2.42
}

(14)
{
  "formula": "LiZr2Os",
  "functional": "GGA-PBE",
  "state": "relaxed",
  "lattice_angstrom": [[1.609, 0.929, 9.208], [-1.609, 0.929, 9.208], [0.000, -1.858, 9.208]],
  "species": ["Li", "Zr", "Zr", "Os"],
  "fractional_positions": [[0.000, 0.000, 0.000], [0.239, 0.239, 0.239], [0.761, 0.761, 0.761], [0.500, 0.500, 0.500]],
  "crystal_system": "trigonal",
  "e_form_ev_per_atom": 0.167
}

(15)
{
  "formula": "Na3UV2Te6",
  "functional": "GGA-PBE",
  "state": "relaxed",
  "lattice_angstrom": [[3.607, -6.242, 0.000], [3.607, 6.242, 0.000], [-2.420, 0.000, 7.580]],
  "species": ["Na", "Na", "Na", "U", "V", "V", "Te", "Te", "Te", "Te", "Te", "Te"],
  "fractional_positions": [[0.000, 0.000, 0.000], [0.342, 0.658, 0.000], [0.658, 0.342, 0.000], [0.500, 0.500, 0.500], [0.167, 0.833, 0.500], [0.833, 0.167, 0.500], [0.071, 0.428, 0.285], [0.214, 0.214, 0.713], [0.428, 0.071, 0.285], [0.572, 0.929, 0.715], [0.786, 0.786, 0.287], [0.929, 0.572, 0.715]],
  "crystal_system": "monoclinic",
  "raw_formation_energy_kcal_per_mol_atoms": -15.03
}

(16)
{
  "formula": "ThIn3",
  "functional": "GGA-PBE",
  "state": "relaxed",
  "lattice_angstrom": [[4.737, 0.000, 0.000], [0.000, 4.737, 0.000], [0.000, 0.000, 4.737]],
  "species": ["Th", "In", "In", "In"],
  "fractional_positions": [[0.000, 0.000, 0.000], [0.000, 0.500, 0.500], [0.500, 0.000, 0.500], [0.500, 0.500, 0.000]],
  "crystal_system": "cubic",
  "e_form_ev_per_atom": -0.346
}

(17)
{
  "formula": "Na2LiIrBr6",
  "functional": "GGA-PBE",
  "state": "relaxed",
  "lattice_angstrom": [[3.459, 1.997, 7.043], [-3.459, 1.997, 7.043], [0.000, -3.994, 7.043]],
  "species": ["Na", "Na", "Li", "Ir", "Br", "Br", "Br", "Br", "Br", "Br"],
  "fractional_positions": [[0.000, 0.000, 0.000], [0.495, 0.495, 0.495], [0.167, 0.167, 0.167], [0.827, 0.827, 0.827], [0.052, 0.453, 0.769], [0.184, 0.912, 0.595], [0.453, 0.769, 0.052], [0.595, 0.184, 0.912], [0.769, 0.052, 0.453], [0.912, 0.595, 0.184]],
  "crystal_system": "trigonal",
  "raw_formation_energy_kcal_per_mol_atoms": -23.21
}

(18)
{
  "formula": "Tb4ErMgSe8",
  "functional": "GGA-PBE",
  "state": "relaxed",
  "lattice_angstrom": [[4.179, 2.413, 6.819], [-4.179, 2.413, 6.819], [0.000, -4.826, 6.819]],
  "species": ["Tb", "Tb", "Tb", "Tb", "Er", "Mg", "Se", "Se", "Se", "Se", "Se", "Se", "Se", "Se"],
  "fractional_positions": [[0.000, 0.000, 0.000], [0.378, 0.378, 0.866], [0.378, 0.866, 0.378], [0.866, 0.378, 0.378], [0.379, 0.379, 0.379], [0.750, 0.750, 0.750], [0.133, 0.133, 0.133], [0.136, 0.136, 0.599], [0.136, 0.599, 0.136], [0.136, 0.620, 0.620], [0.599, 0.136, 0.136], [0.620, 0.136, 0.620], [0.620, 0.620, 0.136], [0.622, 0.622, 0.622]],
  "crystal_system": "trigonal",
  "raw_formation_energy_kcal_per_mol_atoms": -39.61
}

(19)
{
  "formula": "Dy2TlPd9",
  "functional": "GGA-PBE",
  "state": "relaxed",
  "lattice_angstrom": [[4.119, 0.000, 0.000], [0.000, 4.119, 0.000], [0.000, 0.000, 12.299]],
  "species": ["Dy", "Dy", "Tl", "Pd", "Pd", "Pd", "Pd", "Pd", "Pd", "Pd", "Pd", "Pd"],
  "fractional_positions": [[0.000, 0.000, 0.169], [0.000, 0.000, 0.831], [0.000, 0.000, 0.500], [0.000, 0.500, 0.000], [0.000, 0.500, 0.335], [0.000, 0.500, 0.665], [0.500, 0.000, 0.000], [0.500, 0.000, 0.335], [0.500, 0.000, 0.665], [0.500, 0.500, 0.167], [0.500, 0.500, 0.500], [0.500, 0.500, 0.833]],
  "crystal_system": "tetragonal",
  "e_form_ev_per_atom": -0.658
}

(20)
{
  "formula": "CoRe2Pd",
  "functional": "GGA-PBE",
  "state": "relaxed",
  "lattice_angstrom": [[1.352, 0.781, 8.873], [-1.352, 0.781, 8.873], [0.000, -1.562, 8.873]],
  "species": ["Co", "Re", "Re", "Pd"],
  "fractional_positions": [[0.000, 0.000, 0.000], [0.255, 0.255, 0.255], [0.745, 0.745, 0.745], [0.500, 0.500, 0.500]],
  "crystal_system": "trigonal",
  "e_form_ev_per_atom": 0.153
}

no.,total energy (eV per atom)
1,-4.48
2,-5.77
3,-7.43
4,-4.91
5,-4.59
6,-5.80
7,-7.73
8,-1.84
9,-7.06
10,-3.18
11,-2.23
12,-6.06
13,-5.18
14,-7.39
15,-5.01
16,-4.25
17,-3.35
18,-5.47
19,-5.52
20,-9.15